Compound: HoTlCr2O8
Source: Alexandria
Functional: PBE+U
Structure: relaxed

## Properties
As for the total energy: -6.871 eV/atom. As for the density: 4.41 Mg/m³. Its size of the total moment is 0.00 μB per cell.

The structure in CIF format:
```
data_HoTlCr2O8
_cell_length_a 5.7879
_cell_length_b 5.7879
_cell_length_c 7.8109
_cell_angle_alpha 90.00
_cell_angle_beta 90.00
_cell_angle_gamma 120.00
_symmetry_space_group_name_H-M 'P -3 m 1'
_symmetry_Int_Tables_number 164
_symmetry_space_group_name_Hall '-P 3 2"'
loop_
_atom_site_label
_atom_site_fract_x
_atom_site_fract_y
_atom_site_fract_z
_atom_site_occupancy
Ho1 0.0000 0.0000 0.0000 1
Tl1 0.0000 0.0000 0.5000 1
Cr1 0.3333 0.6667 0.7522 1
O1 0.1749 0.3498 0.8222 1
O2 0.3333 0.6667 0.5445 1
```